No. 1
Here is Tb5DyHoSc2 after structural relaxation from Alexandria. Energies are from PBE-GGA.

The calculation puts the calculated total energy at -4.83 eV per atom. The value obtained for the total magnetic moment is 0.00 μB per cell. The density of states at the Fermi level comes out at 54.83 states/eV per cell.

The structure belongs to space group Cmc2_1 (No. 36); the cell edges are 5.591, 21.399 and 9.339 Å and the angles 90.00°, 90.00° and 90.00°. The asymmetric unit holds Tb at (0.000, 0.012, 0.000), Tb at (0.000, 0.265, 0.321), Tb at (0.000, 0.306, 0.707), Tb at (0.000, 0.392, 0.035), Tb at (0.000, 0.468, 0.737), Dy at (0.000, 0.185, 0.006), Ho at (0.000, 0.401, 0.409), Sc at (0.000, 0.114, 0.314) and Sc at (0.000, 0.135, 0.691).

=====

No. 2
Here is Tb2DyHo6Sc after structural relaxation from Alexandria. Energies are from PBE-GGA.

The calculation puts the calculated total energy at -4.64 eV per atom. The value obtained for the total magnetic moment is 0.00 μB per cell. The density of states at the Fermi level comes out at 51.19 states/eV per cell.

The structure belongs to space group C2/c (No. 15); the cell edges are 8.971, 14.759 and 9.430 Å and the angles 90.00°, 97.92° and 90.00°. The asymmetric unit holds Tb at (0.249, 0.051, 0.454), Dy at (0.000, 0.479, 0.250), Ho at (0.062, 0.312, 0.944), Ho at (0.101, 0.106, 0.117), Ho at (0.212, 0.279, 0.311) and Sc at (0.000, 0.088, 0.750).

=====

No. 3
Here is Tb2DyHoSc after structural relaxation from Alexandria. Energies are from PBE-GGA.

The calculation puts the calculated total energy at -4.59 eV per atom. The value obtained for the total magnetic moment is 0.00 μB per cell. The density of states at the Fermi level comes out at 28.28 states/eV per cell.

The structure belongs to space group Cmcm (No. 63); the cell edges are 8.159, 11.197 and 7.066 Å and the angles 90.00°, 90.00° and 90.00°. The asymmetric unit holds Tb at (0.198, 0.000, 0.000), Dy at (0.000, 0.231, 0.250), Ho at (0.000, 0.232, 0.750) and Sc at (0.000, 0.499, 0.250).

=====

No. 4
Here is Dy2Ho3ScTe6 after structural relaxation from Alexandria. Energies are from PBE-GGA.

The calculation puts the calculated total energy at -5.24 eV per atom. The value obtained for the total magnetic moment is 0.00 μB per cell. The density of states at the Fermi level comes out at 13.89 states/eV per cell.

The structure belongs to space group C2/m (No. 12); the cell edges are 18.796, 4.301 and 8.662 Å and the angles 90.00°, 102.97° and 90.00°. The asymmetric unit holds Dy at (0.168, 0.000, 0.333), Ho at (0.000, 0.500, 0.500), Ho at (0.172, 0.000, 0.836), Sc at (0.000, 0.500, 0.000), Te at (0.002, 0.000, 0.759), Te at (0.161, 0.500, 0.079) and Te at (0.165, 0.500, 0.584).

=====

No. 5
Here is Dy2HoScTe5 after structural relaxation from Alexandria. Energies are from PBE-GGA.

The calculation puts the calculated total energy at -4.58 eV per atom. The value obtained for the total magnetic moment is 0.91 μB per cell. The density of states at the Fermi level comes out at 4.72 states/eV per cell.

The structure belongs to space group P4/mmm (No. 123); the cell edges are 5.550, 5.550 and 11.062 Å and the angles 90.00°, 90.00° and 90.00°. The asymmetric unit holds Dy at (0.000, 0.000, 0.163), Ho at (0.500, 0.500, 0.000), Sc at (0.500, 0.500, 0.500), Te at (0.000, 0.000, 0.500), Te at (0.000, 0.500, 0.000) and Te at (0.500, 0.500, 0.261).

=====

No. 6
Here is DyHo2Sc3Te6 after structural relaxation from Alexandria. Energies are from PBE-GGA.

The calculation puts the calculated total energy at -5.48 eV per atom. The value obtained for the total magnetic moment is 0.00 μB per cell. The density of states at the Fermi level comes out at 14.95 states/eV per cell.

The structure belongs to space group C2/m (No. 12); the cell edges are 18.551, 4.247 and 8.534 Å and the angles 90.00°, 103.36° and 90.00°. The asymmetric unit holds Dy at (0.000, 0.000, 0.000), Ho at (0.166, 0.500, 0.332), Sc at (0.000, 0.000, 0.500), Sc at (0.166, 0.500, 0.833), Te at (0.003, 0.500, 0.742), Te at (0.164, 0.000, 0.590) and Te at (0.170, 0.000, 0.076).

=====

No. 7
Here is Dy2HoSc3Te6 after structural relaxation from Alexandria. Energies are from PBE-GGA.

The calculation puts the calculated total energy at -5.49 eV per atom. The value obtained for the total magnetic moment is 0.00 μB per cell. The density of states at the Fermi level comes out at 14.92 states/eV per cell.

The structure belongs to space group C2/m (No. 12); the cell edges are 18.565, 4.249 and 8.542 Å and the angles 90.00°, 103.39° and 90.00°. The asymmetric unit holds Dy at (0.167, 0.000, 0.334), Ho at (0.000, 0.500, 0.000), Sc at (0.000, 0.500, 0.500), Sc at (0.168, 0.000, 0.833), Te at (0.003, 0.000, 0.743), Te at (0.163, 0.500, 0.591) and Te at (0.169, 0.500, 0.074).

=====

No. 8
Here is Dy3Ho3ScTe8 after structural relaxation from Alexandria. Energies are from PBE-GGA.

The calculation puts the calculated total energy at -5.25 eV per atom. The value obtained for the total magnetic moment is 0.00 μB per cell. The density of states at the Fermi level comes out at 21.54 states/eV per cell.

The structure belongs to space group R-3m (No. 166, hexagonal axes); the cell edges are 8.6405, 8.6405 and 21.1712 Å and the angles 90.00°, 90.00° and 120.00°. The asymmetric unit holds Dy at (0.0000, 0.5000, 0.0000), Ho at (0.0000, 0.5000, 0.5000), Sc at (0.0000, 0.0000, 0.5000), Te at (0.0000, 0.0000, 0.2495) and Te at (0.0014, 0.5007, 0.2492).

=====

No. 9
Here is DyHo3Sc2Te6 after structural relaxation from Alexandria. Energies are from PBE-GGA.

The calculation puts the calculated total energy at -5.35 eV per atom. The value obtained for the total magnetic moment is 0.00 μB per cell. The density of states at the Fermi level comes out at 14.78 states/eV per cell.

The structure belongs to space group C2/m (No. 12); the cell edges are 18.672, 4.276 and 8.593 Å and the angles 90.00°, 103.19° and 90.00°. The asymmetric unit holds Dy at (0.000, 0.000, 0.000), Ho at (0.000, 0.000, 0.500), Ho at (0.161, 0.500, 0.830), Sc at (0.165, 0.500, 0.332), Te at (0.005, 0.500, 0.254), Te at (0.170, 0.000, 0.092) and Te at (0.170, 0.000, 0.576).

=====

No. 10
Here is DyHo2ScTe4 after structural relaxation from Alexandria. Energies are from PBE-GGA.

The calculation puts the calculated total energy at -5.29 eV per atom. The value obtained for the total magnetic moment is 0.00 μB per cell. The density of states at the Fermi level comes out at 5.26 states/eV per cell.

The structure belongs to space group P2/m (No. 10); the cell edges are 7.460, 4.266 and 7.489 Å and the angles 90.00°, 109.01° and 90.00°. The asymmetric unit holds Dy at (0.000, 0.000, 0.000), Ho at (0.500, 0.000, 0.500), Ho at (0.500, 0.500, 0.000), Sc at (0.000, 0.500, 0.500), Te at (0.242, 0.000, 0.741) and Te at (0.247, 0.500, 0.255).

=====

Q: Among the records above, which one has the lowest calculated total energy?
A: Dy2HoSc3Te6

=====

Copy entry 4 word for word.
Here is Dy2Ho3ScTe6 after structural relaxation from Alexandria. Energies are from PBE-GGA.

The calculation puts the calculated total energy at -5.24 eV per atom. The value obtained for the total magnetic moment is 0.00 μB per cell. The density of states at the Fermi level comes out at 13.89 states/eV per cell.

The structure belongs to space group C2/m (No. 12); the cell edges are 18.796, 4.301 and 8.662 Å and the angles 90.00°, 102.97° and 90.00°. The asymmetric unit holds Dy at (0.168, 0.000, 0.333), Ho at (0.000, 0.500, 0.500), Ho at (0.172, 0.000, 0.836), Sc at (0.000, 0.500, 0.000), Te at (0.002, 0.000, 0.759), Te at (0.161, 0.500, 0.079) and Te at (0.165, 0.500, 0.584).